[1]
First-principles (PBE-GGA) data for BaCaCd2 after structural relaxation, as listed in the Alexandria database.

a b c (Å): 7.7560 7.7560 7.7560
angles (deg): 151.94 58.53 129.76
Each line ends with the local moment (μB).
Positions (direct):
Ba 0.5000 0.0000 0.5000  0.15
Ca 0.0000 0.0000 0.0000  0.07
Cd 0.2370 0.0000 0.2370  0.01
Cd 0.7630 0.0000 0.7630  0.01

## Properties
- total DFT energy (no corrections) (eV per atom) = -1.116
- total magnetization (μB per cell) = 0.74

***

[2]
First-principles (PBE-GGA) data for Ba7La after structural relaxation, as listed in the Alexandria database.

a b c (Å): 8.7009 8.7009 8.7009
angles (deg): 60.00 60.00 60.00
Positions (direct):
Ba 0.5000 0.5000 0.0000
Ba 0.5000 0.0000 0.5000
Ba 0.5000 0.0000 0.0000
Ba 0.0000 0.0000 0.5000
Ba 0.0000 0.5000 0.0000
Ba 0.0000 0.5000 0.5000
Ba 0.5000 0.5000 0.5000
La 0.0000 0.0000 0.0000

## Properties
- total DFT energy (no corrections) (eV per atom) = -2.186
- total magnetization (μB per cell) = 0.04

***

[3]
First-principles (PBE-GGA) data for LiTl3Br4 after structural relaxation, as listed in the Alexandria database.

a b c (Å): 9.7182 9.7292 11.6703
angles (deg): 90.00 90.00 90.00
Positions (direct):
Tl 0.4270 0.6057 0.7500
Tl 0.9270 0.8943 0.7500
Tl 0.5730 0.3943 0.2500
Tl 0.0730 0.1057 0.2500
Tl 0.4161 0.8022 0.0615
Tl 0.9161 0.6978 0.4385
Tl 0.5839 0.1978 0.5615
Tl 0.0839 0.3022 0.9385
Tl 0.5839 0.1978 0.9385
Tl 0.0839 0.3022 0.5615
Tl 0.4161 0.8022 0.4385
Tl 0.9161 0.6978 0.0615
Br 0.1726 0.9661 0.5729
Br 0.6726 0.5339 0.9271
Br 0.8274 0.0339 0.0729
Br 0.3274 0.4661 0.4271
Br 0.8274 0.0339 0.4271
Br 0.3274 0.4661 0.0729
Br 0.1726 0.9661 0.9271
Br 0.6726 0.5339 0.5729
Br 0.3309 0.2785 0.7500
Br 0.8309 0.2215 0.7500
Br 0.6691 0.7215 0.2500
Br 0.1691 0.7785 0.2500
Br 0.5479 0.9273 0.7500
Br 0.0479 0.5727 0.7500
Br 0.4521 0.0727 0.2500
Br 0.9521 0.4273 0.2500
Li 0.3079 0.0177 0.7500
Li 0.8079 0.4823 0.7500
Li 0.6921 0.9823 0.2500
Li 0.1921 0.5177 0.2500

## Properties
- total DFT energy (no corrections) (eV per atom) = -2.960
- energy above the most stable polymorph in this dataset (meV per atom) = 0
- total magnetization (μB per cell) = 0.00

***

[4]
First-principles (PBE-GGA) data for K3Np3CrSe8 after structural relaxation, as listed in the Alexandria database.

a b c (Å): 8.2651 8.2116 9.1594
angles (deg): 116.63 90.16 119.79
Each line ends with the local moment (μB).
Positions (direct):
K 0.0000 0.0000 0.0000  0.00
K 0.0000 0.5000 0.0000  0.00
K 0.5000 0.5000 0.0000  0.00
Np 0.5000 0.0000 0.5000  -3.68
Np 0.5000 0.5000 0.5000  -3.68
Np 0.0000 0.5000 0.5000  3.64
Cr 0.0000 0.0000 0.5000  3.04
Se 0.2642 0.5277 0.2911  0.03
Se 0.7358 0.4723 0.7089  0.03
Se 0.7824 0.5639 0.3094  -0.04
Se 0.2176 0.4361 0.6906  -0.04
Se 0.7823 0.0279 0.3093  -0.04
Se 0.2177 0.9721 0.6907  -0.04
Se 0.2454 0.0285 0.3115  0.04
Se 0.7546 0.9715 0.6885  0.04

## Properties
- total DFT energy (no corrections) (eV per atom) = -6.396
- total magnetization (μB per cell) = 0.61

***

[5]
First-principles (PBE-GGA) data for PmPuNiPt after structural relaxation, as listed in the Alexandria database.

a b c (Å): 4.9470 4.9470 4.9470
angles (deg): 60.00 60.00 60.00
Each line ends with the local moment (μB).
Positions (direct):
Ni 0.7500 0.7500 0.7500  -0.04
Pm 0.5000 0.5000 0.5000  0.12
Pt 0.2500 0.2500 0.2500  -0.04
Pu 0.0000 0.0000 0.0000  5.25

## Properties
- total DFT energy (no corrections) (eV per atom) = -8.219
- total magnetization (μB per cell) = 5.66

***

[6]
First-principles (PBE-GGA) data for NaTlCdF6 after structural relaxation, as listed in the Alexandria database.

a b c (Å): 5.2067 5.2067 10.6404
angles (deg): 90.00 90.00 90.00
Positions (direct):
Na 0.5000 0.5000 0.4994
Na 0.0000 0.0000 0.9994
Tl 0.5000 0.5000 0.8339
Tl 0.0000 0.0000 0.3339
Cd 0.5000 0.5000 0.1667
Cd 0.0000 0.0000 0.6667
F 0.1881 0.8119 0.4958
F 0.8119 0.1881 0.4958
F 0.3119 0.3119 0.9958
F 0.6881 0.6881 0.9958
F 0.1941 0.8059 0.1752
F 0.8059 0.1941 0.1752
F 0.3059 0.3059 0.6752
F 0.6941 0.6941 0.6752
F 0.7989 0.2011 0.8289
F 0.2011 0.7989 0.8289
F 0.7011 0.7011 0.3289
F 0.2989 0.2989 0.3289

## Properties
- total DFT energy (no corrections) (eV per atom) = -3.949
- total magnetization (μB per cell) = 0.00

***

[7]
First-principles (PBE-GGA) data for ZrCu2As2 after structural relaxation, as listed in the Alexandria database.

a b c (Å): 7.1044 7.1044 3.2097
angles (deg): 90.00 90.00 90.00
Positions (direct):
As 0.1837 0.6837 0.5000
As 0.6837 0.8163 0.5000
As 0.8163 0.3163 0.5000
As 0.3163 0.1837 0.5000
Cu 0.3821 0.8821 0.0000
Cu 0.8821 0.6179 0.0000
Cu 0.6179 0.1179 0.0000
Cu 0.1179 0.3821 0.0000
Zr 0.0000 0.0000 0.0000
Zr 0.5000 0.5000 0.0000

## Properties
- total DFT energy (no corrections) (eV per atom) = -5.391
- total magnetization (μB per cell) = 0.00

***

[8]
First-principles (PBE-GGA) data for ThPaNiS4 after structural relaxation, as listed in the Alexandria database.

a b c (Å): 6.3161 6.0453 7.5928
angles (deg): 90.00 107.03 90.00
Positions (direct):
Th 0.7565 0.7500 0.9386
Th 0.2435 0.2500 0.0614
Pa 0.7652 0.7500 0.4439
Pa 0.2348 0.2500 0.5561
Ni 0.2351 0.7500 0.3171
Ni 0.7649 0.2500 0.6829
S 0.0196 0.5114 0.7477
S 0.9804 0.0114 0.2523
S 0.9804 0.4886 0.2523
S 0.0196 0.9886 0.7477
S 0.4301 0.7500 0.1173
S 0.5699 0.2500 0.8827
S 0.4318 0.7500 0.6057
S 0.5682 0.2500 0.3943

## Properties
- total DFT energy (no corrections) (eV per atom) = -7.100
- total magnetization (μB per cell) = 0.00